Tb6CeHo3Sc2, optimized geometry, DFT PBE-GGA; uncorrected energy = -4.956 eV per atom; volume = 30.3 Å³/atom
1.0
-4.192 -4.031 -1.712
5.887 -1.280 -0.672
-0.380 -2.859 11.241
Sc Tb Ce Ho
2 6 1 3
direct
0.333 0.667 0.000
0.667 0.333 0.000
0.252 0.252 0.754
0.748 0.748 0.246
0.584 0.918 0.754
0.918 0.584 0.754
0.416 0.082 0.246
0.082 0.416 0.246
0.000 0.000 0.000
0.168 0.832 0.500
0.832 0.168 0.500
0.500 0.500 0.500


RbTcSb2Te, optimized geometry, DFT PBE-GGA; raw formation energy = 124 meV/atom; volume = 32.2 Å³/atom
1.0
-3.260 1.431 -3.736
-3.810 -2.581 2.336
-1.427 4.952 3.143
Sb Tc Rb Te
2 1 1 1
direct
0.000 0.500 0.000
0.500 0.000 0.000
0.000 0.000 0.000
0.500 0.500 0.500
0.000 0.000 0.500


Mg2V2Bi, optimized geometry, DFT PBE-GGA; uncorrected energy = -4.796 eV per atom; volume = 21.8 Å³/atom
1.0
-1.493 -4.420 -0.153
5.294 -1.753 -0.990
-0.436 2.273 8.629
V Mg Bi
4 4 2
direct
0.513 0.582 0.392
0.831 0.614 0.019
0.957 0.722 0.275
0.393 0.531 0.146
0.880 0.179 0.119
0.474 0.050 0.312
0.292 0.861 0.940
0.229 0.294 0.810
0.684 0.913 0.723
0.062 0.370 0.491